No. 1
VASP calculation (PBE) on a geometry-optimized SnHgTeI structure.

Cell lengths 4.972, 4.972, 8.711 Å; angles 86.84, 86.84, 51.57 degrees
Atoms (fractional coordinates):
I  0.909  0.909  0.659
Te  0.568  0.568  0.055
Sn  0.244  0.244  0.175
Hg  0.236  0.236  0.495

Calculated values
Uncorrected formation energy: -0.133 eV/atom
M_tot: 0.00 Bohr magnetons per cell
Space-group type: Cm (8)

---

No. 2
VASP calculation (PBE) on a geometry-optimized Al5W structure.

Cell lengths 6.549, 6.549, 3.984 Å; angles 90.00, 90.00, 146.62 degrees
Atoms (fractional coordinates):
Al  0.000  0.000  0.500
Al  0.839  0.161  0.000
Al  0.665  0.335  0.500
Al  0.161  0.839  0.000
Al  0.335  0.665  0.500
W  0.500  0.500  0.000

Calculated values
M_tot: 0.00 Bohr magnetons per cell
Space-group type: Cmmm (65)
Calculated formation energy: 0.02 eV per atom

---

No. 3
VASP calculation (PBE) on a geometry-optimized Mn4Ni structure.

Cell lengths 4.498, 4.498, 4.498 Å; angles 90.00, 90.00, 90.00 degrees
Site moments in Bohr magnetons follow the coordinates.
Atoms (fractional coordinates):
Mn  0.500  0.500  0.000  3.73
Mn  0.000  0.000  0.000  4.07
Mn  0.000  0.500  0.500  3.73
Mn  0.500  0.000  0.500  3.73
Ni  0.500  0.500  0.500  0.86

Calculated values
M_tot: 16.86 Bohr magnetons per cell
Space-group type: Pm-3m (221)
Calculated formation energy: 0.97 eV per atom

---

No. 4
VASP calculation (PBE) on a geometry-optimized SrMg2Pb3 structure.

Cell lengths 5.194, 5.194, 15.299 Å; angles 90.00, 90.00, 120.00 degrees
Atoms (fractional coordinates):
Pb  0.667  0.333  0.632
Pb  0.000  0.000  0.500
Pb  0.000  0.000  0.000
Pb  0.333  0.667  0.368
Pb  0.667  0.333  0.868
Pb  0.333  0.667  0.132
Sr  0.000  0.000  0.250
Sr  0.000  0.000  0.750
Mg  0.333  0.667  0.583
Mg  0.667  0.333  0.417
Mg  0.667  0.333  0.083
Mg  0.333  0.667  0.917

Calculated values
M_tot: 0.00 Bohr magnetons per cell
Space-group type: P6_3/mmc (194)
Calculated formation energy: -0.25 eV per atom